Record 1
Compound: CaPCl3
Source: Alexandria
Functional: GGA-PBE
Structure: relaxed

abc: 5.0081 5.0081 5.0081
angles: 90.00 90.00 90.00
Space group Pm-3m (No. 221)
Asymmetric unit:
Ca (0.0000, 0.0000, 0.0000) x1
P (0.5000, 0.5000, 0.5000) x1
Cl (0.0000, 0.5000, 0.5000) x3

Output
Its calculated total energy is -3.18 eV per atom. As for the energy above the most stable polymorph in this dataset: 0.106 eV per atom.

***

Record 2
Compound: CaP4Cl
Source: Alexandria
Functional: GGA-PBE
Structure: relaxed

abc: 7.9162 7.9162 7.9162
angles: 90.00 90.00 90.00
Space group F-43m (No. 216)
Asymmetric unit:
Ca (0.0000, 0.0000, 0.0000) x4
P (0.1016, 0.1016, 0.3984) x16
Cl (0.2500, 0.2500, 0.7500) x4

Output
Its calculated total energy is -4.54 eV per atom.

***

Record 3
Compound: Ca4P2Cl
Source: Alexandria
Functional: GGA-PBE
Structure: relaxed

abc: 14.7272 8.5047 8.5042
angles: 90.00 125.23 90.00
Space group C2/m (No. 12)
Asymmetric unit:
Ca (0.0152, 0.2195, 0.2655) x8
Ca (0.2348, 0.0000, 0.2652) x4
Ca (0.2345, 0.0000, 0.7039) x4
P (0.0000, 0.0000, 0.0000) x2
P (0.0000, 0.0000, 0.5000) x2
P (0.2500, 0.2500, 0.5000) x4
Cl (0.1249, 0.5000, 0.8760) x4

Output
Its calculated total energy is -4.22 eV per atom.

***

Record 4
Compound: Ca4PCl5
Source: Alexandria
Functional: GGA-PBE
Structure: relaxed

abc: 17.6331 4.1246 8.0770
angles: 90.00 105.64 90.00
Space group C2/m (No. 12)
Asymmetric unit:
Ca (0.0005, 0.0000, 0.2408) x4
Ca (0.1655, 0.5000, 0.1125) x4
P (0.0000, 0.5000, 0.0000) x2
Cl (0.0000, 0.5000, 0.5000) x2
Cl (0.1655, 0.0000, 0.3353) x4
Cl (0.1700, 0.0000, 0.8698) x4

Output
Its calculated total energy is -4.39 eV per atom.

***

Record 5
Compound: Ca3PCl
Source: Alexandria
Functional: GGA-PBE
Structure: relaxed

abc: 5.5456 5.5456 5.5456
angles: 90.00 90.00 90.00
Space group Pm-3m (No. 221)
Asymmetric unit:
Ca (0.0000, 0.0000, 0.5000) x3
P (0.0000, 0.0000, 0.0000) x1
Cl (0.5000, 0.5000, 0.5000) x1

Output
Its calculated total energy is -3.48 eV per atom. As for the energy above the most stable polymorph in this dataset: 0.000 eV per atom.

***

Record 6
Compound: CaP3Cl
Source: Alexandria
Functional: GGA-PBE
Structure: relaxed

abc: 4.7205 4.7205 4.7205
angles: 90.00 90.00 90.00
Space group Pm-3m (No. 221)
Asymmetric unit:
Ca (0.0000, 0.0000, 0.0000) x1
P (0.0000, 0.5000, 0.5000) x3
Cl (0.5000, 0.5000, 0.5000) x1

Output
Its calculated total energy is -3.46 eV per atom.

***

Record 7
Compound: CaPCl6
Source: Alexandria
Functional: GGA-PBE
Structure: relaxed

abc: 6.3726 6.3726 17.3322
angles: 90.00 90.00 120.00
Space group R-3 (No. 148, hexagonal axes)
Asymmetric unit:
Ca (0.0000, 0.0000, 0.0000) x3
P (0.0000, 0.0000, 0.5000) x3
Cl (0.0142, 0.7114, 0.4241) x18

Output
Its calculated total energy is -3.37 eV per atom.

***

Record 8
Compound: CaPPbCl2
Source: Alexandria
Functional: GGA-PBE
Structure: relaxed

abc: 5.1674 5.1674 8.4108
angles: 90.00 90.00 90.00
Space group P4/mmm (No. 123)
Asymmetric unit:
Ca (0.0000, 0.0000, 0.0000) x1
P (0.0000, 0.0000, 0.5000) x1
Pb (0.5000, 0.5000, 0.5000) x1
Cl (0.0000, 0.5000, 0.0000) x2

Output
Its calculated total energy is -3.52 eV per atom. As for the energy above the most stable polymorph in this dataset: 0.000 eV per atom.